Density functional theory data (PBE) for MgSb2Os after structural relaxation.

Lattice parameters (Å, degrees): 3.826 4.563 4.563 90.00 90.00 90.00
Positions (direct):
Mg (0.500, 0.500, 0.000)
Os (0.500, 0.000, 0.500)
Sb (0.000, 0.000, 0.000)
Sb (0.000, 0.500, 0.500)

## Properties
N(E_F)   2.23 states/eV/f.u.
Energy relative to the elements, uncorrected   0.415 eV per atom
M_tot   0.000 μB per atom